Version one
Crystalline ZnTeN2Cl at its relaxed geometry, computed with PBE-GGA.

- magnetic moment (μB per atom) = 0.18

```
data_ZnTeN2Cl
_chemical_formula_sum 'Zn1 Te1 N2 Cl1'
_symmetry_space_group_name_H-M 'P 4/m m m'
_symmetry_Int_Tables_number 123
_symmetry_space_group_name_Hall '-P 4 2'
_cell_length_a 3.7822
_cell_length_b 3.7822
_cell_length_c 8.0055
_cell_angle_alpha 90.00
_cell_angle_beta 90.00
_cell_angle_gamma 90.00
loop_
_atom_site_label
_atom_site_type_symbol
_atom_site_fract_x
_atom_site_fract_y
_atom_site_fract_z
Zn1 Zn 0.0000 0.0000 0.0000
Te1 Te 0.5000 0.5000 0.0000
N1 N 0.0000 0.5000 0.5000
Cl1 Cl 0.5000 0.5000 0.5000
```

Version two
Crystalline ZnTeN2Cl at its relaxed geometry, computed with PBE-GGA.

- magnetic moment (μB per atom) = 0.77

```
data_ZnTeN2Cl
_chemical_formula_sum 'Zn1 Te1 N2 Cl1'
_symmetry_space_group_name_H-M 'P 4/m m m'
_symmetry_Int_Tables_number 123
_symmetry_space_group_name_Hall '-P 4 2'
_cell_length_a 4.0265
_cell_length_b 4.0265
_cell_length_c 6.2989
_cell_angle_alpha 90.00
_cell_angle_beta 90.00
_cell_angle_gamma 90.00
loop_
_atom_site_label
_atom_site_type_symbol
_atom_site_fract_x
_atom_site_fract_y
_atom_site_fract_z
Zn1 Zn 0.0000 0.0000 0.0000
Te1 Te 0.0000 0.0000 0.5000
N1 N 0.0000 0.5000 0.0000
Cl1 Cl 0.5000 0.5000 0.5000
```

Short version: version two, version one, most stable first.